# 1
# SrPrBi

A geometry-optimized SrPrBi structure (PBE, Alexandria).

a b c (Å): 5.3693 5.3693 4.7850
angles (deg): 90.00 90.00 120.00
Positions (direct):
Sr1 0.0000 0.0000 0.0000
Pr1 0.6667 0.3333 0.5178
Bi1 0.3333 0.6667 0.3724

Properties
- E (eV for the cell shown) = -11.47
- formation energy (eV per atom) = -0.38

---

# 2
# Sr2PrThBi4

A geometry-optimized Sr2PrThBi4 structure (PBE, Alexandria).

a b c (Å): 8.1682 4.6996 8.2976
angles (deg): 90.00 109.12 90.00
Positions (direct):
Sr1 0.0000 0.0000 0.0000
Sr2 0.5000 0.5000 0.0000
Pr1 0.0000 0.5000 0.5000
Th1 0.5000 0.0000 0.5000
Bi1 0.2474 0.0000 0.7340
Bi2 0.2585 0.5000 0.2672
Bi3 0.7415 0.5000 0.7328
Bi4 0.7526 0.0000 0.2660

Properties
- E (eV for the cell shown) = -37.47
- formation energy (eV per atom) = -0.80

---

Which of these has the lowest formation energy? Sr2PrThBi4